No. 1
The following is a DFT calculation (GGA-PBE) of NaCeCo after structural relaxation.

```
NaCeCo
1.0
-1.909 -0.647 -3.052
2.625 -2.264 -1.165
-4.671 -11.780 1.124
Co Na Ce
2 2 2
direct
0.755 0.755 0.520 Co
0.995 0.995 0.787 Co
0.752 0.752 0.031 Na
0.006 0.006 0.276 Na
0.512 0.512 0.770 Ce
0.239 0.239 0.537 Ce
```

Values from the calculation:
size of the total moment: 0.000 μB/atom
calculated total energy: -28.7 eV per cell

No. 2
The following is a DFT calculation (GGA-PBE) of CaCdMo2 after structural relaxation.

```
CaCdMo2
1.0
2.968 0.004 0.000
-1.071 2.768 0.000
0.000 0.000 9.799
Ca Mo Cd
1 2 1
direct
0.000 0.000 0.485 Ca
0.500 0.500 0.219 Mo
0.000 0.000 0.024 Mo
0.500 0.500 0.771 Cd
```

Values from the calculation:
size of the total moment: 0.000 μB/atom
calculated total energy: -22.9 eV per cell

No. 3
The following is a DFT calculation (GGA-PBE) of Sm8RhSe4S3 after structural relaxation.

```
Sm8RhSe4S3
1.0
-3.246 -7.535 -0.285
1.127 -0.794 8.154
-4.224 6.403 -2.925
Rh S Sm Se
1 3 8 4
direct
0.000 0.500 0.000 Rh
0.000 0.500 0.500 S
0.500 0.500 0.000 S
0.500 0.500 0.500 S
0.758 0.269 0.517 Sm
0.242 0.731 0.990 Sm
0.743 0.730 0.487 Sm
0.748 0.731 0.990 Sm
0.257 0.270 0.513 Sm
0.242 0.731 0.483 Sm
0.758 0.269 0.010 Sm
0.252 0.269 0.010 Sm
0.000 0.000 0.000 Se
0.500 0.000 0.500 Se
0.500 0.000 0.000 Se
0.000 0.000 0.500 Se
```

Values from the calculation:
formation energy without anion corrections: -1.764 eV/atom
size of the total moment: 0.000 μB/atom
calculated total energy: -99.6 eV per cell

No. 4
The following is a DFT calculation (GGA-PBE) of KCuIr2 after structural relaxation.

```
KCuIr2
1.0
5.595 0.043 0.000
-2.805 4.842 0.000
0.000 0.000 2.537
Ir K Cu
2 1 1
direct
0.500 0.500 0.000 Ir
0.000 0.000 0.000 Ir
0.500 0.000 0.500 K
0.000 0.500 0.500 Cu
```

Values from the calculation:
size of the total moment: 0.000 μB/atom
calculated total energy: -19.3 eV per cell
distance to the lowest polymorph of the same formula: 472 meV per atom

No. 5
The following is a DFT calculation (GGA-PBE) of Ac2LaAg after structural relaxation.

```
Ac2LaAg
1.0
3.949 0.000 0.000
0.000 3.949 0.000
0.000 0.000 9.337
La Ac Ag
1 2 1
direct
0.500 0.500 0.500 La
0.000 0.000 0.212 Ac
0.000 0.000 0.788 Ac
0.500 0.500 0.000 Ag
```

Values from the calculation:
size of the total moment: 0.000 μB/atom
calculated total energy: -16.4 eV per cell
distance to the lowest polymorph of the same formula: 0 meV per atom

No. 6
The following is a DFT calculation (GGA-PBE) of Pm3ErZn after structural relaxation.

```
Pm3ErZn
1.0
7.454 -0.018 -0.231
-2.057 7.164 0.231
-3.177 -3.212 6.013
Pm Zn Er
6 2 2
direct
0.730 0.447 0.176 Pm
0.221 0.414 0.251 Pm
0.163 0.970 0.749 Pm
0.779 0.586 0.749 Pm
0.837 0.030 0.251 Pm
0.270 0.553 0.824 Pm
0.628 0.759 0.387 Zn
0.372 0.241 0.613 Zn
0.700 0.065 0.765 Er
0.300 0.935 0.235 Er
```

Values from the calculation:
size of the total moment: 0.000 μB/atom
calculated total energy: -39.6 eV per cell

No. 7
The following is a DFT calculation (GGA-PBE) of TeIr2Se after structural relaxation.

```
TeIr2Se
1.0
3.137 0.000 0.000
0.000 3.422 0.000
0.000 0.000 6.576
Ir Te Se
2 1 1
direct
0.000 0.000 0.472 Ir
0.000 0.000 0.028 Ir
0.500 0.500 0.750 Te
0.500 0.500 0.250 Se
```

Values from the calculation:
formation energy without anion corrections: 0.534 eV/atom
size of the total moment: 0.000 μB/atom
calculated total energy: -22.2 eV per cell
distance to the lowest polymorph of the same formula: 513 meV per atom

No. 8
The following is a DFT calculation (GGA-PBE) of NaPmSmGe after structural relaxation.

```
NaPmSmGe
1.0
5.257 0.000 0.000
2.629 4.553 0.000
2.629 1.518 4.292
Sm Pm Ge Na
1 1 1 1
direct
0.750 0.750 0.750 Sm
0.250 0.250 0.250 Pm
0.000 0.000 0.000 Ge
0.500 0.500 0.500 Na
```

Values from the calculation:
size of the total moment: 0.001 μB/atom
calculated total energy: -16.4 eV per cell

No. 9
The following is a DFT calculation (GGA-PBE) of PuInCu2O8 after structural relaxation.

```
PuInCu2O8
1.0
-1.761 3.100 -4.592
-4.792 -1.985 2.624
3.135 3.284 3.631
Pu O Cu In
1 8 2 1
direct
0.250 0.750 0.500 Pu
0.368 0.046 0.322 O
0.725 0.046 0.678 O
0.299 0.094 0.796 O
0.906 0.701 0.204 O
0.954 0.632 0.678 O
0.497 0.701 0.796 O
0.954 0.275 0.322 O
0.299 0.503 0.204 O
0.500 0.500 0.000 Cu
0.750 0.250 0.500 Cu
0.000 0.000 0.000 In
```

Values from the calculation:
formation energy without anion corrections: -1.067 eV/atom
size of the total moment: 0.046 μB/atom
calculated total energy: -77.7 eV per cell

No. 10
The following is a DFT calculation (GGA-PBE) of ScMnRuS2 after structural relaxation.

```
ScMnRuS2
1.0
4.346 0.000 0.000
0.000 4.589 0.000
0.000 0.000 4.346
Sc Ru S Mn
1 1 2 1
direct
0.000 0.500 0.000 Sc
0.500 0.500 0.500 Ru
0.000 0.000 0.500 S
0.500 0.000 0.000 S
0.000 0.000 0.000 Mn
```

Values from the calculation:
formation energy without anion corrections: 0.473 eV/atom
size of the total moment: 0.041 μB/atom
calculated total energy: -30.7 eV per cell

No. 11
The following is a DFT calculation (GGA-PBE) of K2NpMn2S4 after structural relaxation.

```
K2NpMn2S4
1.0
-2.463 0.336 3.146
-4.306 -5.662 -2.768
6.477 -2.933 2.830
K Mn S Np
2 2 4 1
direct
0.132 0.553 0.264 K
0.868 0.447 0.736 K
0.680 0.983 0.360 Mn
0.320 0.017 0.640 Mn
0.200 0.168 0.400 S
0.800 0.832 0.600 S
0.522 0.766 0.044 S
0.478 0.234 0.956 S
0.000 0.000 0.000 Np
```

Values from the calculation:
formation energy without anion corrections: -0.968 eV/atom
size of the total moment: 1.328 μB/atom
calculated total energy: -58.7 eV per cell

No. 12
The following is a DFT calculation (GGA-PBE) of ThMgGaPt after structural relaxation.

```
ThMgGaPt
1.0
-0.018 -0.335 -4.051
3.350 -2.296 0.175
-6.126 -8.878 0.762
Pt Ga Mg Th
2 2 2 2
direct
0.500 0.000 0.912 Pt
0.000 0.500 0.088 Pt
0.500 0.000 0.671 Ga
0.000 0.500 0.329 Ga
0.500 0.500 0.500 Mg
0.000 0.000 0.500 Mg
0.000 0.500 0.811 Th
0.500 0.000 0.189 Th
```

Values from the calculation:
size of the total moment: 0.000 μB/atom
calculated total energy: -40.8 eV per cell
distance to the lowest polymorph of the same formula: 120 meV per atom